An optimized crystal structure of Zr3TlH, computed with PBE.

The total energy comes out at -6.0669 eV per atom. The value obtained for the magnetic moment is 0.00 μB per cell. As for the density of states at the Fermi level: 3.8 states/eV/f.u. The space group is R3m (160). The volume is 99 Å³/cell.

```
Zr3TlH
1.0
-2.567 -0.776 4.690
4.835 -2.399 -0.235
0.076 5.164 -1.588
H Zr Tl
1 3 1
Cartesian
1.052 0.892 1.287 H
2.509 1.553 -0.144 Zr
1.425 -0.884 2.432 Zr
-0.528 2.219 1.877 Zr
2.282 1.935 2.792 Tl
```

An optimized crystal structure of AlAg3Rh, computed with PBE.

The value obtained for the magnetic moment is 0.50 μB per cell. As for the density of states at the Fermi level: 4.5 states/eV/f.u. Its formation enthalpy at 0 K is 5.20 eV per formula unit. The space group is Pm-3m (221). The excess energy over the best structure of this formula in the dataset comes out at 185 meV per atom. The volume is 128 Å³/cell.

```
AlAg3Rh
1.0
5.033 0.000 0.000
0.000 5.033 0.000
0.000 0.000 5.033
Ag Al Rh
3 1 1
Cartesian
0.000 2.517 0.000 Ag
0.000 0.000 2.517 Ag
2.517 0.000 0.000 Ag
2.517 2.517 2.517 Al
0.000 0.000 0.000 Rh
```

An optimized crystal structure of AcPPt2Au2, computed with PBE.

The value obtained for the magnetic moment is 0.00 μB per cell. As for the density of states at the Fermi level: 2.7 states/eV/f.u. Its formation enthalpy at 0 K is -1.99 eV per formula unit. The space group is I4/mmm (139). The volume is 146 Å³/cell.

```
AcPPt2Au2
1.0
-3.400 -3.927 -0.371
3.516 -3.238 2.066
-1.910 4.721 4.087
Au Pt P Ac
2 2 1 1
Cartesian
0.832 -1.050 3.501 Au
-2.626 -1.395 2.282 Au
-0.740 0.454 1.971 Pt
-1.055 -2.899 3.811 Pt
0.000 0.000 0.000 P
0.058 -3.583 0.848 Ac
```

An optimized crystal structure of ReW, computed with PBE.

The value obtained for the magnetic moment is 0.00 μB per cell. As for the density of states at the Fermi level: 1.5 states/eV/f.u. Its formation enthalpy at 0 K is 0.50 eV per formula unit. The space group is Pnma (62). The excess energy over the best structure of this formula in the dataset comes out at 157 meV per atom. The volume is 127 Å³/cell.

```
ReW
1.0
4.567 0.000 0.000
0.000 5.183 0.000
0.000 0.000 5.379
W Re
4 4
Cartesian
3.426 1.984 0.517 W
1.142 0.607 3.206 W
3.426 4.576 2.172 W
1.142 3.198 4.862 W
1.142 3.063 2.036 Re
3.426 2.120 3.343 Re
3.426 4.711 4.725 Re
1.142 0.471 0.653 Re
```